[1]
## KCuBr2 (PBE)

Data for a relaxed KCuBr2 crystal.

Lattice parameters (Å, degrees): 5.0098 7.6905 8.0478 105.95 106.74 107.34
Closest atoms and distances in Å follow each position.
Atoms (fractional coordinates):
K (0.0000, 0.0000, 0.0000)  6 Br 3.28-3.44
K (0.0806, 0.7322, 0.4263)  6 Br 3.28-3.65
Cu (0.2926, 0.4484, 0.8782)  2 Br 2.36-2.39, 2 Cu 2.57-2.58
Cu (0.7266, 0.3883, 0.7975)  3 Br 2.37-2.52, 2 Cu 2.57-2.58
Br (0.4461, 0.7616, 0.1165)  1 Cu 2.36
Br (0.6052, 0.5811, 0.6275)  1 Cu 2.37
Br (0.6721, 0.3100, 0.0586)  1 Cu 2.40
Br (0.9012, 0.1467, 0.6279)  2 Cu 2.39-2.52

## Properties
The relative energy among the computed polymorphs is 0.8 kJ/mol of atoms. As for the size of the total moment: 0.000 Bohr magnetons per cell. As for the uncorrected formation energy: -988 meV/atom. Its space group is P1 (1).

---

[2]
## SnPd3Pb3 (PBE)

Data for a relaxed SnPd3Pb3 crystal.

Lattice parameters (Å, degrees): 6.6722 6.6722 7.4113 95.04 95.04 93.87
Closest atoms and distances in Å follow each position.
Atoms (fractional coordinates):
Sn (0.2417, 0.2417, 0.4434)  4 Pd 2.68-2.78
Sn (0.7583, 0.7583, 0.5566)  4 Pd 2.68-2.78
Pd (0.0561, 0.4448, 0.1884)  1 Sn 2.68, 2 Pb 2.80-2.82, 1 Pd 3.00
Pd (0.4448, 0.0561, 0.1884)  1 Sn 2.68, 2 Pb 2.80-2.82, 1 Pd 3.00
Pd (0.4896, 0.4896, 0.6957)  2 Sn 2.74-2.78, 4 Pb 2.85-2.99, 3 Pd 2.93-3.07
Pd (0.5104, 0.5104, 0.3043)  2 Sn 2.74-2.78, 4 Pb 2.85-2.99, 3 Pd 2.93-3.07
Pd (0.5552, 0.9439, 0.8116)  1 Sn 2.68, 2 Pb 2.80-2.82, 1 Pd 3.00
Pd (0.9439, 0.5552, 0.8116)  1 Sn 2.68, 2 Pb 2.80-2.82, 1 Pd 3.00
Pb (0.1700, 0.1700, 0.8746)  5 Pd 3.02-3.35, 1 Sn 3.34
Pb (0.2328, 0.7672, 0.5000)  4 Pd 2.99-3.11, 2 Sn 3.23
Pb (0.3196, 0.6804, 0.0000)  6 Pd 2.80-2.85
Pb (0.6804, 0.3196, 0.0000)  6 Pd 2.80-2.85
Pb (0.7672, 0.2328, 0.5000)  4 Pd 2.99-3.11, 2 Sn 3.23
Pb (0.8300, 0.8300, 0.1254)  5 Pd 3.02-3.35, 1 Sn 3.34

## Properties
As for the size of the total moment: 0.000 Bohr magnetons per cell. The energy of formation from the pure elements is -193 meV/atom. Its space group is C2/m (12).

---

[3]
## Ca2InCu5Ni2 (PBE)

Data for a relaxed Ca2InCu5Ni2 crystal.

Lattice parameters (Å, degrees): 9.2318 9.2318 3.8247 90.00 90.00 90.00
Closest atoms and distances in Å follow each position.
Atoms (fractional coordinates):
Ca (0.1779, 0.3221, 0.0000)  3 Ni 2.68-2.78
Ca (0.3221, 0.8221, 0.0000)  3 Ni 2.68-2.78
Ca (0.6779, 0.1779, 0.0000)  3 Ni 2.68-2.78
Ca (0.8221, 0.6779, 0.0000)  3 Ni 2.68-2.78
In (0.0000, 0.0000, 0.0000)  8 Cu 2.85
In (0.5000, 0.5000, 0.0000)  8 Cu 2.85
Cu (0.0000, 0.5000, 0.5000)  4 Ni 2.44, 4 Cu 2.66
Cu (0.0640, 0.7809, 0.5000)  2 Ni 2.49, 1 Cu 2.66
Cu (0.2191, 0.0640, 0.5000)  2 Ni 2.49, 1 Cu 2.66
Cu (0.2809, 0.5640, 0.5000)  2 Ni 2.49, 1 Cu 2.66
Cu (0.4360, 0.2809, 0.5000)  2 Ni 2.49, 1 Cu 2.66
Cu (0.5000, 0.0000, 0.5000)  4 Ni 2.44, 4 Cu 2.66
Cu (0.5640, 0.7191, 0.5000)  2 Ni 2.49, 1 Cu 2.66
Cu (0.7191, 0.4360, 0.5000)  2 Ni 2.49, 1 Cu 2.66
Cu (0.7809, 0.9360, 0.5000)  2 Ni 2.49, 1 Cu 2.66
Cu (0.9360, 0.2191, 0.5000)  2 Ni 2.49, 1 Cu 2.66
Ni (0.1165, 0.6165, 0.0000)  6 Cu 2.44-2.49, 1 Ca 2.68
Ni (0.3835, 0.1165, 0.0000)  6 Cu 2.44-2.49, 1 Ca 2.68
Ni (0.6165, 0.8835, 0.0000)  6 Cu 2.44-2.49, 1 Ca 2.68
Ni (0.8835, 0.3835, 0.0000)  6 Cu 2.44-2.49, 1 Ca 2.68

## Properties
As for the size of the total moment: 0.000 Bohr magnetons per cell. The energy of formation from the pure elements is -90 meV/atom. Its space group is P4/mbm (127).

---

[4]
## Cu6TePd5 (PBE)

Data for a relaxed Cu6TePd5 crystal.

Lattice parameters (Å, degrees): 7.2123 7.2123 7.2123 148.01 117.83 71.64
Closest atoms and distances in Å follow each position.
Atoms (fractional coordinates):
Cu (0.0678, 0.3293, 0.7384)  7 Pd 2.66-2.79, 4 Cu 2.72-2.82, 1 Te 2.79
Cu (0.2285, 0.0000, 0.2285)  6 Pd 2.62-2.76, 4 Cu 2.82, 2 Te 2.84
Cu (0.4091, 0.6707, 0.7384)  7 Pd 2.66-2.79, 4 Cu 2.72-2.82, 1 Te 2.79
Cu (0.5909, 0.3293, 0.2616)  7 Pd 2.66-2.79, 4 Cu 2.72-2.82, 1 Te 2.79
Cu (0.7715, 0.0000, 0.7715)  6 Pd 2.62-2.76, 4 Cu 2.82, 2 Te 2.84
Cu (0.9322, 0.6707, 0.2616)  7 Pd 2.66-2.79, 4 Cu 2.72-2.82, 1 Te 2.79
Te (0.5000, 0.5000, 0.0000)  4 Pd 2.73, 8 Cu 2.79-2.84
Pd (0.0000, 0.5000, 0.5000)  8 Cu 2.62-2.67, 4 Pd 2.83
Pd (0.1725, 0.1725, 0.0000)  8 Cu 2.64-2.68, 4 Pd 2.79-2.83
Pd (0.3397, 0.8397, 0.5000)  8 Cu 2.66-2.79, 2 Te 2.73, 2 Pd 2.79
Pd (0.6603, 0.1603, 0.5000)  8 Cu 2.66-2.79, 2 Te 2.73, 2 Pd 2.79
Pd (0.8275, 0.8275, 0.0000)  8 Cu 2.64-2.68, 4 Pd 2.79-2.83

## Properties
As for the size of the total moment: 0.000 Bohr magnetons per cell. As for the uncorrected formation energy: -106 meV/atom. Its space group is Immm (71).

---

What did we get for total DFT energy (no corrections)? Answer: -3.12, -4.58, -3.97, -4.58 eV per atom, in the order shown.